# 1
This record from the Alexandria database describes a relaxed SrTaBe2 crystal. The functional is PBE.

## Properties
- Energy above the lowest structure with this stoichiometry: 39.66 kJ/mol of atoms
- Crystal system: orthorhombic

a = 5.656 Å, b = 5.656 Å, c = 5.656 Å
α = 150.86°, β = 127.89°, γ = 60.82°
Positions (direct):
Sr 0.000 0.000 0.000
Ta 0.299 0.799 0.500
Be 0.535 0.535 0.000
Be 0.720 0.220 0.500

# 2
This record from the Alexandria database describes a relaxed LaTcOs2 crystal. The functional is PBE.

## Properties
- Energy above the lowest structure with this stoichiometry: 0.00 kJ/mol of atoms
- Crystal system: tetragonal

a = 2.991 Å, b = 2.991 Å, c = 7.979 Å
α = 90.00°, β = 90.00°, γ = 90.00°
Positions (direct):
La 0.000 0.000 0.000
Tc 0.000 0.000 0.500
Os 0.500 0.500 0.298
Os 0.500 0.500 0.702

# 3
This record from the Alexandria database describes a relaxed Ba2FeSi crystal. The functional is PBE.

## Properties
- Crystal system: tetragonal
- Formation energy from raw total energies: 0.14 eV per atom

a = 8.547 Å, b = 8.547 Å, c = 8.547 Å
α = 93.94°, β = 93.94°, γ = 149.62°
Positions (direct):
Ba 0.375 0.183 0.308
Ba 0.817 0.125 0.192
Ba 0.875 0.067 0.692
Ba 0.933 0.625 0.808
Fe 0.000 0.000 0.000
Fe 0.750 0.250 0.500
Si 0.250 0.750 0.500
Si 0.500 0.500 0.000

# 4
This record from the Alexandria database describes a relaxed PmY2ErSc crystal. The functional is PBE.

## Properties
- Crystal system: orthorhombic
- Energy: -5.3741 eV per atom

a = 6.951 Å, b = 6.951 Å, c = 7.124 Å
α = 90.00°, β = 90.00°, γ = 107.66°
Positions (direct):
Pm 0.232 0.768 0.750
Pm 0.768 0.232 0.250
Y 0.198 0.198 0.000
Y 0.198 0.198 0.500
Y 0.802 0.802 0.000
Y 0.802 0.802 0.500
Er 0.233 0.767 0.250
Er 0.767 0.233 0.750
Sc 0.496 0.504 0.750
Sc 0.504 0.496 0.250

| no. | N(E_F) (states/eV/f.u.) |
| --- | --- |
| 1 | 3.682 |
| 2 | 3.551 |
| 3 | 4.605 |
| 4 | 6.505 |